No. 1
Compound: K3SbCl8
Source: Alexandria via LeMat-Bulk
Functional: PBE
Structure: relaxed

## Properties
Polymorph energy (0 for the lowest one): 178.1 meV/atom
D(E_F): 1.63 states/eV/atom
Formation energy without anion corrections: -1.093 eV per atom
DFT total energy: -2.942 eV/atom

a = 7.2091 Å, b = 7.2091 Å, c = 14.4321 Å
α = 90.00°, β = 90.00°, γ = 90.00°
With the nearest neighbours (Å) after each atom.
Space group I4/mmm (No. 139)
Symmetry-distinct sites (fractional):
K: 0.0000 0.0000 0.0000 x2  8 Cl 3.25
K: 0.0000 0.5000 0.2500 x4  8 Cl 3.24
Sb: 0.0000 0.0000 0.5000 x2  8 Cl 2.79
Cl: 0.2232 0.2232 0.3876 x16  1 Sb 2.79

=====

No. 2
Compound: KSb2Cl
Source: Alexandria via LeMat-Bulk
Functional: PBE
Structure: relaxed

## Properties
Polymorph energy (0 for the lowest one): 107.6 meV/atom
D(E_F): 0.13 states/eV/atom
Formation energy without anion corrections: -0.674 eV per atom
DFT total energy: -3.472 eV/atom

a = 3.8520 Å, b = 3.8520 Å, c = 8.7364 Å
α = 90.00°, β = 90.00°, γ = 90.00°
With the nearest neighbours (Å) after each atom.
Space group P4mm (No. 99)
Symmetry-distinct sites (fractional):
K: 0.0000 0.0000 0.0000 x1  4 Cl 2.99
Sb: 0.0000 0.0000 0.5370 x1  4 Sb 3.09
Sb: 0.5000 0.5000 0.3711 x1  4 Sb 3.09
Cl: 0.5000 0.5000 0.8599 x1  4 K 2.99

=====

No. 3
Compound: KSbCl
Source: Alexandria via LeMat-Bulk
Functional: PBE
Structure: relaxed

## Properties
Polymorph energy (0 for the lowest one): 466.8 meV/atom
D(E_F): 0.21 states/eV/atom
Formation energy without anion corrections: -0.104 eV per atom
DFT total energy: -2.459 eV/atom

a = 8.1805 Å, b = 8.1805 Å, c = 8.1805 Å
α = 90.00°, β = 90.00°, γ = 90.00°
With the nearest neighbours (Å) after each atom.
Space group F-43m (No. 216)
Symmetry-distinct sites (fractional):
K: 0.0000 0.0000 0.0000 x4  4 Sb 3.54
Sb: 0.2500 0.2500 0.7500 x4  4 Cl 3.54, 4 K 3.54
Cl: 0.0000 0.0000 0.5000 x4  4 Sb 3.54

=====

No. 4
Compound: K2SbCl
Source: Alexandria via LeMat-Bulk
Functional: PBE
Structure: relaxed

## Properties
Polymorph energy (0 for the lowest one): 26.6 meV/atom
D(E_F): 0.14 states/eV/atom
Formation energy without anion corrections: -1.017 eV per atom
DFT total energy: -3.058 eV/atom

a = 3.6515 Å, b = 3.5934 Å, c = 19.1353 Å
α = 90.00°, β = 90.00°, γ = 90.00°
With the nearest neighbours (Å) after each atom.
Space group Amm2 (No. 38)
Symmetry-distinct sites (fractional):
K: 0.0000 0.0000 0.0000 x2  4 Cl 3.15
K: 0.0000 0.0000 0.2013 x2  4 Cl 3.26, 2 K 3.59
Sb: 0.5000 0.0000 0.8409 x2  6 K 3.55-3.70, 4 Sb 3.59-3.65
Cl: 0.5000 0.0000 0.5959 x2  8 K 3.15-3.26

=====

No. 5
Compound: KSbCl2
Source: Alexandria via LeMat-Bulk
Functional: PBE
Structure: relaxed

## Properties
Polymorph energy (0 for the lowest one): 238.8 meV/atom
D(E_F): 0.37 states/eV/atom
Formation energy without anion corrections: -0.767 eV per atom
DFT total energy: -2.996 eV/atom

a = 7.8611 Å, b = 7.8866 Å, c = 3.3862 Å
α = 90.00°, β = 90.00°, γ = 90.00°
With the nearest neighbours (Å) after each atom.
Space group Cmmm (No. 65)
Symmetry-distinct sites (fractional):
K: 0.0000 0.0000 0.0000 x2  8 Cl 3.26, 2 K 3.39
Sb: 0.0000 0.5000 0.0000 x2  8 Cl 3.26, 2 Sb 3.39
Cl: 0.2500 0.2500 0.5000 x4  4 K 3.26, 4 Sb 3.26, 2 Cl 3.39

=====

No. 6
Compound: K2SbCl
Source: Alexandria via LeMat-Bulk
Functional: PBE
Structure: relaxed

## Properties
Polymorph energy (0 for the lowest one): 624.1 meV/atom
D(E_F): 0.27 states/eV/atom
Formation energy without anion corrections: -0.419 eV per atom
DFT total energy: -2.460 eV/atom

a = 8.3579 Å, b = 8.3579 Å, c = 8.3579 Å
α = 90.00°, β = 90.00°, γ = 90.00°
With the nearest neighbours (Å) after each atom.
Space group F-43m (No. 216)
Symmetry-distinct sites (fractional):
K: 0.0000 0.0000 0.0000 x4  4 K 3.62, 4 Sb 3.62
K: 0.2500 0.2500 0.2500 x4  4 Cl 3.62, 4 K 3.62
Sb: 0.2500 0.2500 0.7500 x4  4 Cl 3.62, 4 K 3.62
Cl: 0.0000 0.0000 0.5000 x4  4 Sb 3.62, 4 K 3.62

=====

> Look up the polymorph energy (0 for the lowest one) of the third one.

466.8 meV/atom

=====

> D(E_F) of number 1 (K3SbCl8)?

1.63 states/eV/atom